# CaAcPt2, relaxed, DFT PBE-GGA
# relative energy among the computed polymorphs	72	meV/atom
# V	97	Å³ per cell
# uncorrected energy	-0.2034	Ha/atom
# energy relative to the elements	-95.3	kJ per mole of atoms
# size of the total moment	0.0	μB per formula unit
data_CaAcPt2
_symmetry_space_group_name_H-M 'P 4/m m m'
_symmetry_Int_Tables_number 123
_symmetry_space_group_name_Hall '-P 4 2'
_cell_length_a 5.153
_cell_length_b 5.153
_cell_length_c 3.663
_cell_angle_alpha 90.00
_cell_angle_beta 90.00
_cell_angle_gamma 90.00
loop_
_atom_site_label
_atom_site_type_symbol
_atom_site_fract_x
_atom_site_fract_y
_atom_site_fract_z
Ca1 Ca 0.000 0.000 0.000
Ac1 Ac 0.500 0.500 0.000
Pt1 Pt 0.000 0.500 0.500